First-principles (PBE) data for a geometry-optimized Nd3HoTh4Se8 structure, as listed in Alexandria via LeMat-Bulk.

abc: 8.280 8.498 8.278
angles: 119.14 120.01 90.00
Element x y z (fractional)
Nd 0.000 0.500 0.500
Se 0.251 0.252 0.501
Se 0.244 0.743 0.488
Ho 0.000 0.500 0.000
Se 0.755 0.743 0.999
Th 0.000 0.000 0.000
Se 0.749 0.748 0.499
Th 0.500 0.000 0.500
Th 0.500 0.000 0.000
Se 0.756 0.257 0.512
Se 0.756 0.257 0.001
Se 0.245 0.257 0.001
Se 0.244 0.743 0.999
Nd 0.500 0.500 0.000
Th 0.000 0.000 0.500
Nd 0.500 0.500 0.500

Summary:
D(E_F)   0.335 states/eV per atom
SG   R-3m
ΔE_f (raw)   -1.666 eV/atom
Magnetization   0.00 μB/cell
Calculated volume   417.1 Å³ per cell